Density functional theory data (PBE+U) for a relaxed structure of K4V5CdClO15.

Summary:
- Total magnetic moment: 0.00 μB per cell
- Density of states at the Fermi level: 0.000 states/eV/f.u.
- Space-group type: P4
- Total DFT energy (no corrections): -168.5 eV/cell

Lattice parameters (Å, degrees): 9.2382 9.2382 5.5350 90.00 90.00 90.00
Positions (direct):
O 0.8788 0.7887 0.7895
O 0.5459 0.3081 0.7761
O 0.6146 0.1438 0.1973
O 0.5000 0.0000 0.7782
O 0.2113 0.8788 0.7895
O 0.3854 0.8562 0.1973
O 0.4541 0.6919 0.7761
O 0.7887 0.1212 0.7895
O 0.1438 0.3854 0.1973
O 0.0000 0.5000 0.7782
O 0.1212 0.2113 0.7895
O 0.3081 0.4541 0.7761
O 0.8562 0.6146 0.1973
O 0.6919 0.5459 0.7761
O 0.5000 0.5000 0.1610
V 0.6170 0.1437 0.8958
V 0.3830 0.8563 0.8958
V 0.8563 0.6170 0.8958
V 0.1437 0.3830 0.8958
V 0.5000 0.5000 0.8680
K 0.8375 0.3230 0.4219
K 0.3230 0.1625 0.4219
K 0.1625 0.6770 0.4219
K 0.6770 0.8375 0.4219
Cl 0.0000 0.0000 0.3178
Cd 0.0000 0.0000 0.8485